[1]
! MnCrP2, relaxed, DFT PBE-GGA; values from VASP
&SYSTEM
  ibrav = 0, nat = 8, ntyp = 3
/
ATOMIC_SPECIES
Cr 52.00 Cr.upf
Mn 54.94 Mn.upf
P 30.97 P.upf
CELL_PARAMETERS angstrom
5.293 0.000 0.000
0.000 5.293 0.000
2.646 2.646 5.291
ATOMIC_POSITIONS crystal
Cr 0.500 0.500 0.000
Cr 0.250 0.750 0.500
Mn 0.000 0.000 0.000
Mn 0.750 0.250 0.500
P 0.627 0.125 0.250
P 0.123 0.625 0.250
P 0.375 0.373 0.750
P 0.875 0.877 0.750
! - volume (Å³ per cell) = 148.2
! - symmetry = I-42d
! - calculated formation energy (eV per formula unit) = 0.207

***

[2]
! MnCrP2, relaxed, DFT PBE-GGA; values from VASP
&SYSTEM
  ibrav = 0, nat = 4, ntyp = 3
/
ATOMIC_SPECIES
Cr 52.00 Cr.upf
Mn 54.94 Mn.upf
P 30.97 P.upf
CELL_PARAMETERS angstrom
-3.282 -3.476 -5.439
-5.018 -3.985 -3.372
-5.200 -1.627 -4.769
ATOMIC_POSITIONS crystal
Cr 0.250 0.250 0.250
Mn 0.750 0.750 0.750
P 0.002 0.002 0.002
P 0.498 0.498 0.498
! - volume (Å³ per cell) = 46.2
! - symmetry = R-3m
! - calculated formation energy (eV per formula unit) = -0.545

***

[3]
! MnCrP3, relaxed, DFT PBE-GGA; values from VASP
&SYSTEM
  ibrav = 0, nat = 5, ntyp = 3
/
ATOMIC_SPECIES
Cr 52.00 Cr.upf
Mn 54.94 Mn.upf
P 30.97 P.upf
CELL_PARAMETERS angstrom
4.458 0.000 0.000
0.000 4.458 0.000
0.000 0.000 4.458
ATOMIC_POSITIONS crystal
Cr 0.000 0.000 0.000
Mn 0.500 0.500 0.500
P 0.000 0.500 0.000
P 0.000 0.000 0.500
P 0.500 0.000 0.000
! - volume (Å³ per cell) = 88.6
! - symmetry = Pm-3m
! - calculated formation energy (eV per formula unit) = 2.919

***

[4]
! MnCrP2, relaxed, DFT PBE-GGA; values from VASP
&SYSTEM
  ibrav = 0, nat = 8, ntyp = 3
/
ATOMIC_SPECIES
Mn 54.94 Mn.upf
Cr 52.00 Cr.upf
P 30.97 P.upf
CELL_PARAMETERS angstrom
3.005 0.000 0.000
0.000 5.314 0.000
0.000 0.000 5.954
ATOMIC_POSITIONS crystal
Mn 0.000 0.507 0.443
Mn 0.000 0.007 0.557
Cr 0.500 0.495 0.051
Cr 0.500 0.995 0.949
P 0.500 0.312 0.682
P 0.500 0.812 0.318
P 0.000 0.686 0.807
P 0.000 0.186 0.193
! - volume (Å³ per cell) = 95.1
! - symmetry = Pmc2_1
! - calculated formation energy (eV per formula unit) = -2.243

***

[5]
! MnCrP3, relaxed, DFT PBE-GGA; values from VASP
&SYSTEM
  ibrav = 0, nat = 5, ntyp = 3
/
ATOMIC_SPECIES
Cr 52.00 Cr.upf
Mn 54.94 Mn.upf
P 30.97 P.upf
CELL_PARAMETERS angstrom
4.366 0.000 0.000
0.000 4.366 0.000
0.000 0.000 4.366
ATOMIC_POSITIONS crystal
Cr 0.500 0.500 0.500
Mn 0.000 0.000 0.000
P 0.000 0.500 0.000
P 0.000 0.000 0.500
P 0.500 0.000 0.000
! - volume (Å³ per cell) = 83.2
! - symmetry = Pm-3m
! - calculated formation energy (eV per formula unit) = 4.720

***

[6]
! MnCrPRh, relaxed, DFT PBE-GGA; values from VASP
&SYSTEM
  ibrav = 0, nat = 4, ntyp = 4
/
ATOMIC_SPECIES
Cr 52.00 Cr.upf
Mn 54.94 Mn.upf
Rh 102.91 Rh.upf
P 30.97 P.upf
CELL_PARAMETERS angstrom
-1.808 2.865 2.347
1.001 0.332 3.984
2.164 3.251 1.317
ATOMIC_POSITIONS crystal
Cr 0.250 0.250 0.250
Mn 0.500 0.500 0.500
Rh 0.750 0.750 0.750
P 0.000 0.000 0.000
! - volume (Å³ per cell) = 49.5
! - symmetry = F-43m
! - calculated formation energy (eV per formula unit) = -0.896

***

[7]
! MnCrP2S, relaxed, DFT PBE-GGA; values from VASP
&SYSTEM
  ibrav = 0, nat = 5, ntyp = 4
/
ATOMIC_SPECIES
Cr 52.00 Cr.upf
S 32.06 S.upf
Mn 54.94 Mn.upf
P 30.97 P.upf
CELL_PARAMETERS angstrom
4.307 0.000 0.000
0.000 4.307 0.000
0.000 0.000 5.076
ATOMIC_POSITIONS crystal
Cr 0.000 0.000 0.000
S 0.000 0.000 0.500
Mn 0.500 0.500 0.500
P 0.000 0.500 0.000
P 0.500 0.000 0.000
! - volume (Å³ per cell) = 94.2
! - symmetry = P4/mmm
! - energy relative to the elements, uncorrected (eV/f.u.) = 2.37

***

[8]
! MnCrP2S, relaxed, DFT PBE-GGA; values from VASP
&SYSTEM
  ibrav = 0, nat = 5, ntyp = 4
/
ATOMIC_SPECIES
Cr 52.00 Cr.upf
S 32.06 S.upf
Mn 54.94 Mn.upf
P 30.97 P.upf
CELL_PARAMETERS angstrom
-2.287 -1.678 3.063
-1.891 -2.483 -2.772
3.638 -3.602 0.743
ATOMIC_POSITIONS crystal
Cr 0.500 0.500 0.500
S 0.000 0.000 0.500
Mn 0.000 0.000 0.000
P 0.000 0.500 0.000
P 0.500 0.000 0.000
! - volume (Å³ per cell) = 90.1
! - symmetry = P4/mmm
! - energy relative to the elements, uncorrected (eV/f.u.) = 2.42

***

What is the formula in the sixth record?
MnCrPRh

***

Look up the volume of the fifth one.
83.2 Å³ per cell

***

volume of number 2 (MnCrP2)?
46.2 Å³ per cell

***

What is the volume in the fourth record?
95.1 Å³ per cell